The following is a DFT calculation (GGA+U) of a geometry-optimized Tb3Mn5O12 structure.

Calculated values
The calculation puts the total energy at -7.811 eV/atom. As for the mass density: 6.3 Mg/m³.

a b c (Å): 10.8993 10.8993 10.8993
angles (deg): 109.47 109.47 109.47
Last column: magnetic moment on the atom in μB.
Fractional coordinates of all 80 atoms:
Tb 0.7500 0.3750 0.1250  0.05
Tb 0.8750 0.7500 0.1250  0.05
Tb 0.3750 0.7500 0.6250  0.05
Tb 0.2500 0.1250 0.3750  0.05
Tb 0.8750 0.1250 0.2500  0.05
Tb 0.3750 0.6250 0.2500  0.05
Tb 0.6250 0.3750 0.7500  0.05
Tb 0.1250 0.8750 0.7500  0.05
Tb 0.7500 0.8750 0.6250  0.05
Tb 0.6250 0.2500 0.3750  0.05
Tb 0.1250 0.2500 0.8750  0.05
Tb 0.2500 0.6250 0.8750  0.05
Mn 0.1250 0.3750 0.2500  4.20
Mn 0.0000 0.5000 0.0000  3.71
Mn 0.0000 0.0000 0.0000  3.71
Mn 0.3750 0.2500 0.1250  4.20
Mn 0.5000 0.0000 0.5000  3.71
Mn 0.5000 0.5000 0.0000  3.71
Mn 0.1250 0.7500 0.3750  4.20
Mn 0.7500 0.1250 0.8750  4.20
Mn 0.7500 0.6250 0.3750  4.20
Mn 0.3750 0.1250 0.7500  4.20
Mn 0.6250 0.8750 0.2500  4.20
Mn 0.5000 0.5000 0.5000  3.71
Mn 0.5000 0.0000 0.0000  3.71
Mn 0.0000 0.0000 0.5000  3.71
Mn 0.2500 0.3750 0.6250  4.20
Mn 0.2500 0.8750 0.1250  4.20
Mn 0.0000 0.5000 0.5000  3.71
Mn 0.8750 0.2500 0.6250  4.20
Mn 0.6250 0.7500 0.8750  4.20
Mn 0.8750 0.6250 0.7500  4.20
O 0.7024 0.1248 0.0321  -0.07
O 0.3297 0.5321 0.4073  -0.07
O 0.9679 0.3752 0.2976  -0.07
O 0.5321 0.2024 0.1248  -0.07
O 0.5776 0.7024 0.6703  -0.07
O 0.9679 0.5927 0.1703  -0.07
O 0.3297 0.7976 0.4224  -0.07
O 0.0927 0.9224 0.1248  -0.07
O 0.5927 0.9679 0.6703  -0.07
O 0.7024 0.5776 0.1703  -0.07
O 0.7976 0.4679 0.3752  -0.07
O 0.8297 0.9073 0.0321  -0.07
O 0.1248 0.7024 0.5321  -0.07
O 0.3752 0.4073 0.0776  -0.07
O 0.0776 0.9073 0.3752  -0.07
O 0.4224 0.1248 0.5927  -0.07
O 0.0776 0.1703 0.2024  -0.07
O 0.4679 0.6703 0.0927  -0.07
O 0.8297 0.9224 0.2976  -0.07
O 0.1248 0.4224 0.0927  -0.07
O 0.3752 0.9679 0.7976  -0.07
O 0.5927 0.6248 0.4224  -0.07
O 0.9073 0.8297 0.5321  -0.07
O 0.7976 0.3297 0.9224  -0.07
O 0.4073 0.3752 0.5776  -0.07
O 0.0927 0.1703 0.4679  -0.07
O 0.2024 0.6703 0.0776  -0.07
O 0.1703 0.0776 0.7024  -0.07
O 0.6248 0.0321 0.2024  -0.07
O 0.8752 0.5776 0.9073  -0.07
O 0.5321 0.3297 0.9073  -0.07
O 0.5776 0.8752 0.4073  -0.07
O 0.9224 0.8297 0.7976  -0.07
O 0.9224 0.0927 0.6248  -0.07
O 0.8752 0.2976 0.4679  -0.07
O 0.1703 0.0927 0.9679  -0.07
O 0.6248 0.5927 0.9224  -0.07
O 0.4073 0.0321 0.3297  -0.07
O 0.2976 0.4224 0.8297  -0.07
O 0.2024 0.5321 0.6248  -0.07
O 0.9073 0.0776 0.8752  -0.07
O 0.6703 0.2024 0.5776  -0.07
O 0.4679 0.7976 0.8752  -0.07
O 0.0321 0.4073 0.8297  -0.07
O 0.4224 0.2976 0.3297  -0.07
O 0.0321 0.6248 0.7024  -0.07
O 0.6703 0.4679 0.5927  -0.07
O 0.2976 0.8752 0.9679  -0.07